Crystalline LiSmNiPb at its relaxed geometry, computed with PBE.

Computed properties:
Formation energy   -0.3980 eV/atom

Unit cell a=4.7648 b=4.7648 c=4.7648 alpha=60.00 beta=60.00 gamma=60.00
Element x y z (fractional)
Li1 0.0000 0.0000 0.0000
Sm1 0.2500 0.2500 0.2500
Ni1 0.5000 0.5000 0.5000
Pb1 0.7500 0.7500 0.7500